Entry 1:
# NbRhS4 PBE optimized geometry
# - Formation energy without anion corrections: -494 meV per atom
data_NbRhS4
_cell_length_a 5.990
_cell_length_b 5.850
_cell_length_c 5.891
_cell_angle_alpha 90.00
_cell_angle_beta 90.78
_cell_angle_gamma 90.00
_space_group_name_H-M_alt 'P 1 21/c 1'
_space_group_IT_number 14
_space_group_name_Hall '-P 2ybc'
loop_
_atom_site_label
_atom_site_fract_x
_atom_site_fract_y
_atom_site_fract_z
Nb1 0.000 0.000 0.000
Rh1 0.500 0.000 0.500
S1 0.141 0.129 0.370
S2 0.375 0.627 0.372

***

Entry 2:
# MgIn5S8 PBE optimized geometry
# - Formation energy without anion corrections: -647 meV per atom
data_MgIn5S8
_cell_length_a 11.016
_cell_length_b 11.016
_cell_length_c 11.016
_cell_angle_alpha 90.00
_cell_angle_beta 90.00
_cell_angle_gamma 90.00
_space_group_name_H-M_alt 'F -4 3 m'
_space_group_IT_number 216
_space_group_name_Hall 'F -4 2 3'
loop_
_atom_site_label
_atom_site_fract_x
_atom_site_fract_y
_atom_site_fract_z
Mg1 0.000 0.000 0.000
In1 0.127 0.127 0.373
In2 0.250 0.250 0.750
S1 0.116 0.116 0.616
S2 0.132 0.132 0.132

***

Entry 3:
# Pu2Tl3CdO9 PBE optimized geometry
# - Formation energy without anion corrections: -1709 meV per atom
data_Pu2Tl3CdO9
_cell_length_a 6.1076
_cell_length_b 6.1076
_cell_length_c 7.5226
_cell_angle_alpha 90.00
_cell_angle_beta 90.00
_cell_angle_gamma 120.00
_space_group_name_H-M_alt 'P -3 m 1'
_space_group_IT_number 164
_space_group_name_Hall '-P 3 2"'
loop_
_atom_site_label
_atom_site_fract_x
_atom_site_fract_y
_atom_site_fract_z
Pu1 0.3333 0.6667 0.1615
Tl1 0.0000 0.0000 0.0000
Tl2 0.3333 0.6667 0.6517
Cd1 0.0000 0.0000 0.5000
O1 0.0000 0.5000 0.0000
O2 0.1792 0.3583 0.3130